# 1
TePdF2 after structural relaxation, computed with PBE.

a b c (Å): 3.0729 3.0729 24.6364
angles (deg): 90.00 90.00 120.00
With the nearest neighbours (Å) after each atom.
Space group R-3m (No. 166, hexagonal axes)
Unique sites:
Te (0.0000, 0.0000, 0.0000) x3  6 F 2.75, 6 Te 3.07
Pd (0.0000, 0.0000, 0.5000) x3  2 F 2.00
F (0.0000, 0.0000, 0.4188) x6  1 Pd 2.00

Computed properties:
**Fermi-level density of states**: 6.11 states/eV/cell
**Energy relative to the elements, uncorrected**: -66.5 kJ per mole of atoms

***

# 2
TePd2F after structural relaxation, computed with PBE.

a b c (Å): 6.3733 6.3733 6.3733
angles (deg): 90.00 90.00 90.00
With the nearest neighbours (Å) after each atom.
Space group Fm-3m (No. 225)
Unique sites:
Te (0.0000, 0.0000, 0.0000) x4  8 Pd 2.76
Pd (0.2500, 0.2500, 0.2500) x8  4 F 2.76, 4 Te 2.76
F (0.0000, 0.0000, 0.5000) x4  8 Pd 2.76

Computed properties:
**Fermi-level density of states**: 13.64 states/eV/cell
**Energy relative to the elements, uncorrected**: -52.2 kJ per mole of atoms

***

# 3
TePd2F after structural relaxation, computed with PBE.

a b c (Å): 6.8113 6.8113 5.9154
angles (deg): 90.00 90.00 90.00
With the nearest neighbours (Å) after each atom.
Space group I-42d (No. 122)
Unique sites:
Te (0.0000, 0.0000, 0.0000) x4  4 Pd 2.64
Pd (0.2251, 0.2500, 0.6250) x8  2 F 2.41, 2 Te 2.64
F (0.0000, 0.0000, 0.5000) x4  4 Pd 2.41

Computed properties:
**Fermi-level density of states**: 7.65 states/eV/cell
**Energy relative to the elements, uncorrected**: -44.9 kJ per mole of atoms

***

# 4
Te3PdF after structural relaxation, computed with PBE.

a b c (Å): 5.6562 6.5409 8.3318
angles (deg): 109.53 102.42 101.33
With the nearest neighbours (Å) after each atom.
Space group P1 (No. 1)
Unique sites:
Te (0.0000, 0.0000, 0.0000) x1  2 Pd 2.70-2.80, 1 Te 2.81
Te (0.0242, 0.1903, 0.5573) x1  2 Pd 2.65-2.94, 2 Te 2.91, 1 F 2.97
Te (0.2525, 0.6198, 0.1575) x1  1 F 2.12
Te (0.3443, 0.9135, 0.6306) x1  1 F 2.11
Te (0.5256, 0.5137, 0.7291) x1  2 Pd 2.74-2.80, 1 Te 2.91
Te (0.7727, 0.3259, 0.1622) x1  2 Pd 2.73-2.82, 2 Te 2.81-3.02
Pd (0.3345, 0.2707, 0.9166) x1  6 Te 2.69-2.94, 2 Pd 2.87-2.99
Pd (0.8085, 0.2497, 0.8159) x1  5 Te 2.65-2.82, 1 Pd 2.87
F (0.6103, 0.8593, 0.2346) x1  1 Te 2.12
F (0.9913, 0.6749, 0.5650) x1  1 Te 2.11

Computed properties:
**Fermi-level density of states**: 3.10 states/eV/cell
**Energy relative to the elements, uncorrected**: -51.9 kJ per mole of atoms

***

# 5
TePdF2 after structural relaxation, computed with PBE.

a b c (Å): 7.7788 7.7788 5.0748
angles (deg): 90.00 90.00 90.00
With the nearest neighbours (Å) after each atom.
Space group I-42d (No. 122)
Unique sites:
Te (0.0000, 0.0000, 0.0000) x4  4 F 2.30, 2 Pd 2.54
Pd (0.0000, 0.0000, 0.5000) x4  2 Te 2.54
F (0.1346, 0.2500, 0.1250) x8  2 Te 2.30

Computed properties:
**Fermi-level density of states**: 9.14 states/eV/cell
**Energy relative to the elements, uncorrected**: -70.8 kJ per mole of atoms

***

# 6
Te4Pd2F after structural relaxation, computed with PBE.

a b c (Å): 7.4917 7.5668 8.2847
angles (deg): 114.71 116.82 90.19
With the nearest neighbours (Å) after each atom.
Space group P-1 (No. 2)
Unique sites:
Te (0.2047, 0.2187, 0.4160) x2  3 Pd 2.67-2.74
Te (0.2080, 0.2141, 0.9144) x2  3 Pd 2.71-2.74
Te (0.2239, 0.7277, 0.9496) x2  1 F 2.07
Te (0.2887, 0.7828, 0.5841) x2  3 Pd 2.67-2.74
Pd (0.0000, 0.0000, 0.0000) x1  6 Te 2.68-2.74
Pd (0.0000, 0.0000, 0.5000) x1  6 Te 2.71-2.74
Pd (0.0000, 0.5000, 0.5000) x1  6 Te 2.67-2.94
Pd (0.5000, 0.0000, 0.0000) x1  6 Te 2.68-2.74
F (0.3707, 0.7608, 0.2437) x2  1 Te 2.07

Computed properties:
**Fermi-level density of states**: 4.09 states/eV/cell
**Energy relative to the elements, uncorrected**: -52.7 kJ per mole of atoms

***

Question: The highest Fermi-level density of states belongs to which entry?
Answer: number 2